Computed, not measured: a geometry-optimized BH2Pd3 structure at the PBE-GGA level of DFT.

Lattice parameters (Å, degrees): 5.2473 5.2473 14.7383 90.00 90.00 120.00
With the nearest neighbours (Å) after each atom.
Space group R-3c (No. 167, hexagonal axes)
Asymmetric unit:
1 B 0.0000 0.0000 0.0000  6 Pd 2.15
2 H 0.0000 0.0000 0.1783  3 Pd 2.01, 1 H 2.11
3 Pd 0.0000 0.3258 0.2500  2 H 2.01, 2 B 2.15

Results
* size of the total moment: 0.000 μB per formula unit
* electronic total energy: -4.88 eV per atom
* DOS at the Fermi energy: 6.26 states/eV/cell



Computed, not measured: a geometry-optimized La7ScAl8O24 structure at the PBE-GGA level of DFT.

Lattice parameters (Å, degrees): 7.5825 7.5825 7.5825 90.00 90.00 90.00
With the nearest neighbours (Å) after each atom.
Space group Pm-3m (No. 221)
Asymmetric unit:
1 La 0.0000 0.0000 0.0000  12 O 2.69
2 La 0.0000 0.0000 0.5000  12 O 2.68-2.73
3 La 0.0000 0.5000 0.5000  12 O 2.67-2.68
4 Sc 0.5000 0.5000 0.5000  12 O 2.64
5 Al 0.2523 0.2523 0.2523  6 O 1.88-1.91
6 O 0.0000 0.2510 0.2510  2 Al 1.91
7 O 0.2541 0.2541 0.5000  2 Al 1.88

Results
* size of the total moment: 0.000 μB per formula unit
* DOS at the Fermi energy: 0.00 states/eV/cell
* formation energy (no corrections): -3237 meV/atom